(1)
VASP calculation (GGA+U) on KVTeO5 after structural relaxation.

Properties
M_tot = 0.00 μB per cell
VASP energy = -195.94 eV for the cell shown
density of states at the Fermi level = 0.3 states/eV/f.u.

```
data_KVTeO5
_symmetry_space_group_name_H-M 'C 1 2/c 1'
_symmetry_Int_Tables_number 15
_cell_length_a 7.442
_cell_length_b 9.776
_cell_length_c 7.898
_cell_angle_alpha 90.00
_cell_angle_beta 115.14
_cell_angle_gamma 90.00
loop_
_symmetry_equiv_pos_as_xyz
'x,y,z'
'-x,-y,-z'
'-x,y,-z+1/2'
'x,-y,z+1/2'
'x+1/2,y+1/2,z'
'-x+1/2,-y+1/2,-z'
'-x+1/2,y+1/2,-z+1/2'
'x+1/2,-y+1/2,z+1/2'
loop_
_atom_site_label
_atom_site_type_symbol
_atom_site_fract_x
_atom_site_fract_y
_atom_site_fract_z
K1 K 0.000 0.170 0.250
V1 V 0.000 0.184 0.750
Te1 Te 0.000 0.500 0.000
O1 O 0.000 0.438 0.250
O2 O 0.088 0.290 0.621
O3 O 0.189 0.076 0.899
```



(2)
VASP calculation (GGA+U) on Er2WO6 after structural relaxation.

Properties
M_tot = 0.00 μB per cell
VASP energy = -292.71 eV for the cell shown
density of states at the Fermi level = 0.0 states/eV/f.u.

```
data_Er2WO6
_symmetry_space_group_name_H-M 'P 1 2/c 1'
_symmetry_Int_Tables_number 13
_cell_length_a 7.662
_cell_length_b 5.359
_cell_length_c 11.399
_cell_angle_alpha 90.00
_cell_angle_beta 104.68
_cell_angle_gamma 90.00
loop_
_symmetry_equiv_pos_as_xyz
'x,y,z'
'-x,-y,-z'
'-x,y,-z+1/2'
'x,-y,z+1/2'
loop_
_atom_site_label
_atom_site_type_symbol
_atom_site_fract_x
_atom_site_fract_y
_atom_site_fract_z
Er1 Er 0.000 0.184 0.250
Er2 Er 0.294 0.317 0.922
Er3 Er 0.500 0.240 0.250
W1 W 0.223 0.244 0.615
O1 O 0.011 0.138 0.885
O2 O 0.134 0.348 0.451
O3 O 0.210 0.479 0.229
O4 O 0.292 0.041 0.774
O5 O 0.347 0.037 0.069
O6 O 0.440 0.456 0.604
```



Which value of M_tot does entry 2 give?
0.00 μB per cell